VASP calculation (meta-GGA SCAN) on a crystal of ZrSiW2 relaxed with PBEsol.

Computed properties:
ΔE_f (raw)	0.3209	eV per atom

Cell lengths 2.967, 2.967, 7.453 Å; angles 90.00, 90.00, 90.00 degrees
Fractional coordinates of all 4 atoms:
Zr 0.000 0.000 0.000
Si 0.000 0.000 0.500
W 0.500 0.500 0.297
W 0.500 0.500 0.703